# 1
VASP calculation (PBE) on a relaxed structure of K2Ac2TaO6.

Lattice parameters (Å, degrees): 6.3384 10.9259 6.9126 90.00 97.76 90.00
Closest atoms and distances in Å follow each position.
Space group C2/m (No. 12)
Inequivalent atoms, fractional coordinates:
K (0.0000, 0.1425, 0.0000) [4 per cell]  4 O 2.74-3.05
Ac (0.0000, 0.3359, 0.5000) [4 per cell]  6 O 2.53-2.57
Ta (0.0000, 0.0000, 0.5000) [2 per cell]  6 O 2.02-2.05
O (0.1611, 0.1404, 0.6513) [8 per cell]  1 Ta 2.05
O (0.2434, 0.0000, 0.3383) [4 per cell]  1 Ta 2.02

Total magnetic moment in μB/cell: 0.00
Uncorrected formation energy in meV/atom: -2564
Total energy in eV per cell: -160.45



# 2
VASP calculation (PBE) on a relaxed structure of MgCd2GaAu2.

Lattice parameters (Å, degrees): 4.2500 8.6659 6.5170 90.00 90.00 90.00
Closest atoms and distances in Å follow each position.
Space group Pmc2_1 (No. 26)
Inequivalent atoms, fractional coordinates:
Mg (0.0000, 0.0725, 0.0000) [2 per cell]  5 Au 2.84-2.88, 2 Ga 3.12, 1 Cd 3.15
Cd (0.0000, 0.3018, 0.3746) [2 per cell]  4 Au 2.86-2.92, 2 Cd 3.02, 2 Ga 3.10, 1 Mg 3.15
Cd (0.5000, 0.4313, 0.0946) [2 per cell]  4 Au 2.90-3.08, 2 Cd 3.02
Ga (0.5000, 0.2010, 0.6934) [2 per cell]  4 Au 2.61-2.75
Au (0.0000, 0.3653, 0.8055) [2 per cell]  2 Ga 2.66, 1 Mg 2.84, 4 Cd 2.86-2.92
Au (0.5000, 0.0893, 0.2985) [2 per cell]  2 Ga 2.61-2.75, 2 Cd 2.86, 4 Mg 2.86-2.88

ΔH_f (0 K) in kcal/mol of atoms: -6.67
Total magnetic moment in μB/cell: 0.00
Total energy in eV per cell: -29.48



# 3
VASP calculation (PBE) on a relaxed structure of Si2TcPd2.

Lattice parameters (Å, degrees): 6.9963 6.9963 2.8939 90.00 90.00 90.00
Closest atoms and distances in Å follow each position.
Space group P4/mbm (No. 127)
Inequivalent atoms, fractional coordinates:
Si (0.1565, 0.3435, 0.0000) [4 per cell]  6 Pd 2.47-2.54, 2 Tc 2.64
Tc (0.0000, 0.0000, 0.0000) [2 per cell]  4 Si 2.64, 2 Tc 2.89
Pd (0.1417, 0.6417, 0.5000) [4 per cell]  6 Si 2.47-2.54

Total magnetic moment in μB/cell: 0.85
Uncorrected formation energy in meV/atom: -285
Total energy in eV per cell: -66.04



Please write out number 1 again, unchanged.
VASP calculation (PBE) on a relaxed structure of K2Ac2TaO6.

Lattice parameters (Å, degrees): 6.3384 10.9259 6.9126 90.00 97.76 90.00
Closest atoms and distances in Å follow each position.
Space group C2/m (No. 12)
Inequivalent atoms, fractional coordinates:
K (0.0000, 0.1425, 0.0000) [4 per cell]  4 O 2.74-3.05
Ac (0.0000, 0.3359, 0.5000) [4 per cell]  6 O 2.53-2.57
Ta (0.0000, 0.0000, 0.5000) [2 per cell]  6 O 2.02-2.05
O (0.1611, 0.1404, 0.6513) [8 per cell]  1 Ta 2.05
O (0.2434, 0.0000, 0.3383) [4 per cell]  1 Ta 2.02

Total magnetic moment in μB/cell: 0.00
Uncorrected formation energy in meV/atom: -2564
Total energy in eV per cell: -160.45



Q: What is the total magnetic moment in the first record?
A: 0.00 μB/cell